Record 1
The following is a PBE-GGA calculation of an optimized crystal structure of Ca2CeDyTe4, from Alexandria via LeMat-Bulk.

Cell lengths 4.4298, 7.6736, 7.8457 Å; angles 109.02, 90.00, 90.00 degrees
Each line ends with the local moment (μB).
Fractional positions:
1 Te 0.0000 0.2567 0.7521  0.00
2 Dy 0.5000 0.5000 0.0000  0.08
3 Te 0.5000 0.2570 0.2526  -0.01
4 Te 0.5000 0.7430 0.7474  -0.01
5 Ca 0.0000 0.5000 0.5000  0.01
6 Ce 0.0000 0.0000 0.0000  1.10
7 Ca 0.5000 0.0000 0.5000  0.00
8 Te 0.0000 0.7433 0.2479  0.00

Symmetry ... P2/m
Calculated total energy ... -38.731 eV per cell



Record 2
The following is a PBE-GGA calculation of an optimized crystal structure of Ca3Ce3DyTe8, from Alexandria via LeMat-Bulk.

Cell lengths 8.9486, 8.9477, 9.0446 Å; angles 119.65, 90.00, 120.00 degrees
Each line ends with the local moment (μB).
Fractional positions:
1 Te 0.7519 0.5038 0.7556  -0.01
2 Te 0.2463 0.4925 0.7478  -0.01
3 Te 0.2481 0.4962 0.2444  -0.01
4 Te 0.7537 0.5075 0.2522  -0.01
5 Ce 0.5000 0.5000 0.5000  1.10
6 Ca 0.0000 0.5000 0.0000  0.01
7 Ca 0.5000 0.5000 0.0000  0.01
8 Te 0.7539 0.9984 0.2523  -0.01
9 Ca 0.0000 0.0000 0.0000  0.01
10 Te 0.2461 0.0016 0.7477  -0.01
11 Te 0.7556 0.0016 0.7477  -0.01
12 Dy 0.0000 0.0000 0.5000  0.05
13 Ce 0.5000 0.0000 0.5000  1.10
14 Te 0.2444 0.9984 0.2523  -0.01
15 Ce 0.0000 0.5000 0.5000  1.10

Symmetry ... R-3m
Calculated total energy ... -75.503 eV per cell



Record 3
The following is a PBE-GGA calculation of an optimized crystal structure of Ca3CeDy2Te6, from Alexandria via LeMat-Bulk.

Cell lengths 7.6564, 7.6564, 7.8090 Å; angles 99.43, 99.43, 119.96 degrees
Each line ends with the local moment (μB).
Fractional positions:
1 Ca 0.8359 0.1641 0.5000  0.00
2 Te 0.5760 0.9168 0.7509  0.00
3 Ca 0.5000 0.5000 0.5000  0.00
4 Ce 0.0000 0.0000 0.0000  1.07
5 Te 0.4240 0.0832 0.2491  0.00
6 Te 0.0832 0.4240 0.2491  0.00
7 Ca 0.1641 0.8359 0.5000  0.00
8 Te 0.9168 0.5760 0.7509  0.00
9 Dy 0.3326 0.6674 0.0000  0.07
10 Te 0.2587 0.2587 0.7528  0.00
11 Dy 0.6674 0.3326 0.0000  0.07
12 Te 0.7413 0.7413 0.2472  0.00

Symmetry ... C2/m
Calculated total energy ... -57.415 eV per cell



Record 4
The following is a PBE-GGA calculation of an optimized crystal structure of CaCe2DyTe4, from Alexandria via LeMat-Bulk.

Cell lengths 4.4237, 7.7825, 7.7094 Å; angles 70.97, 90.00, 90.00 degrees
Each line ends with the local moment (μB).
Fractional positions:
1 Te 0.5000 0.7396 0.2553  0.00
2 Te 0.0000 0.7408 0.7510  0.00
3 Dy 0.0000 0.5000 0.5000  -0.01
4 Ce 0.5000 0.0000 0.5000  -0.99
5 Ce 0.0000 0.0000 0.0000  0.97
6 Ca 0.5000 0.5000 0.0000  0.00
7 Te 0.5000 0.2604 0.7447  0.00
8 Te 0.0000 0.2592 0.2490  0.00

Symmetry ... P2/m
Calculated total energy ... -42.148 eV per cell



Record 5
The following is a PBE-GGA calculation of an optimized crystal structure of CaCeDy2Tl4, from Alexandria via LeMat-Bulk.

Cell lengths 5.4178, 5.4178, 9.5034 Å; angles 73.44, 73.44, 60.00 degrees
Each line ends with the local moment (μB).
Fractional positions:
1 Tl 0.3752 0.3752 0.8744  0.00
2 Ce 0.5000 0.5000 0.5000  0.84
3 Dy 0.2527 0.2527 0.2418  0.01
4 Tl 0.6248 0.6248 0.1256  0.00
5 Ca 0.0000 0.0000 0.0000  0.00
6 Dy 0.7473 0.7473 0.7582  0.01
7 Tl 0.1251 0.1251 0.6247  0.01
8 Tl 0.8749 0.8749 0.3753  0.01

Symmetry ... R-3m
Energy of formation from the pure elements ... -0.33 eV/atom
Calculated total energy ... -29.217 eV per cell



Record 6
The following is a PBE-GGA calculation of an optimized crystal structure of CaCe2DyTl4, from Alexandria via LeMat-Bulk.

Cell lengths 5.4685, 5.4685, 9.5160 Å; angles 73.30, 73.30, 60.00 degrees
Each line ends with the local moment (μB).
Fractional positions:
1 Tl 0.6231 0.6231 0.1307  0.01
2 Tl 0.1266 0.1266 0.6201  0.01
3 Tl 0.8734 0.8734 0.3799  0.01
4 Ce 0.2525 0.2525 0.2426  0.86
5 Ca 0.0000 0.0000 0.0000  0.00
6 Ce 0.7475 0.7475 0.7574  0.86
7 Tl 0.3769 0.3769 0.8693  0.01
8 Dy 0.5000 0.5000 0.5000  0.05

Symmetry ... R-3m
Energy of formation from the pure elements ... -0.31 eV/atom
Calculated total energy ... -30.378 eV per cell



Record 7
The following is a PBE-GGA calculation of an optimized crystal structure of CaCeDyTm, from Alexandria via LeMat-Bulk.

Cell lengths 5.7277, 5.7277, 5.7277 Å; angles 60.00, 60.00, 60.00 degrees
Each line ends with the local moment (μB).
Fractional positions:
1 Ca 0.2500 0.2500 0.2500  0.03
2 Ce 0.7500 0.7500 0.7500  1.01
3 Dy 0.0000 0.0000 0.0000  0.20
4 Tm 0.5000 0.5000 0.5000  0.20

Symmetry ... F-43m
Energy of formation from the pure elements ... 0.24 eV/atom
Calculated total energy ... -16.044 eV per cell



Record 8
The following is a PBE-GGA calculation of an optimized crystal structure of CaCeDyY, from Alexandria via LeMat-Bulk.

Cell lengths 5.7666, 5.7666, 5.7666 Å; angles 60.00, 60.00, 60.00 degrees
Each line ends with the local moment (μB).
Fractional positions:
1 Ce 0.2500 0.2500 0.2500  1.03
2 Y 0.5000 0.5000 0.5000  0.15
3 Dy 0.0000 0.0000 0.0000  0.20
4 Ca 0.7500 0.7500 0.7500  0.03

Symmetry ... F-43m
Energy of formation from the pure elements ... 0.24 eV/atom
Calculated total energy ... -18.052 eV per cell



Record 9
The following is a PBE-GGA calculation of an optimized crystal structure of CaCeEr2, from Alexandria via LeMat-Bulk.

Cell lengths 3.5528, 3.5528, 11.8962 Å; angles 81.41, 81.41, 60.00 degrees
Each line ends with the local moment (μB).
Fractional positions:
1 Ca 0.5006 0.5006 0.4983  0.00
2 Er 0.0777 0.0777 0.7670  0.01
3 Er 0.2555 0.2555 0.2335  0.02
4 Ce 0.6663 0.6663 0.0012  -0.28

Symmetry ... R3m
Energy of formation from the pure elements ... 0.09 eV/atom
Calculated total energy ... -16.696 eV per cell
Polymorph energy (0 for the lowest one) ... 0 meV/atom



Record 10
The following is a PBE-GGA calculation of an optimized crystal structure of CaCeEr, from Alexandria via LeMat-Bulk.

Cell lengths 3.5758, 3.5758, 9.0186 Å; angles 90.00, 90.00, 120.00 degrees
Each line ends with the local moment (μB).
Fractional positions:
1 Ce 0.3333 0.6667 0.6512  0.79
2 Er 0.6667 0.3333 0.3471  0.01
3 Ca 0.0000 0.0000 0.0018  0.02

Symmetry ... P3m1
Energy of formation from the pure elements ... 0.14 eV/atom
Calculated total energy ... -12.071 eV per cell
Polymorph energy (0 for the lowest one) ... 0 meV/atom



Record 11
The following is a PBE-GGA calculation of an optimized crystal structure of CaCeEr, from Alexandria via LeMat-Bulk.

Cell lengths 3.5592, 3.5592, 8.3366 Å; angles 102.33, 102.33, 90.00 degrees
Each line ends with the local moment (μB).
Fractional positions:
1 Er 0.6762 0.6762 0.3523  -0.05
2 Ca 0.0006 0.0006 0.0012  0.02
3 Ce 0.3232 0.3232 0.6465  0.79

Symmetry ... I4mm
Energy of formation from the pure elements ... 0.16 eV/atom
Calculated total energy ... -12.029 eV per cell
Polymorph energy (0 for the lowest one) ... 14 meV/atom



Record 12
The following is a PBE-GGA calculation of an optimized crystal structure of CaCeEr2, from Alexandria via LeMat-Bulk.

Cell lengths 3.5885, 3.5885, 10.0645 Å; angles 90.00, 90.00, 90.00 degrees
Fractional positions:
1 Er 0.0000 0.0000 0.7767
2 Er 0.0000 0.0000 0.2233
3 Ce 0.5000 0.5000 0.0000
4 Ca 0.5000 0.5000 0.5000

Symmetry ... P4/mmm
Energy of formation from the pure elements ... 0.10 eV/atom
Calculated total energy ... -16.675 eV per cell
Polymorph energy (0 for the lowest one) ... 5 meV/atom



Record 13
The following is a PBE-GGA calculation of an optimized crystal structure of CaCeEr2, from Alexandria via LeMat-Bulk.

Cell lengths 5.7218, 5.7218, 5.7218 Å; angles 60.00, 60.00, 60.00 degrees
Each line ends with the local moment (μB).
Fractional positions:
1 Er 0.2500 0.2500 0.2500  0.19
2 Ca 0.0000 0.0000 0.0000  0.03
3 Ce 0.5000 0.5000 0.5000  0.99
4 Er 0.7500 0.7500 0.7500  0.19

Symmetry ... Fm-3m
Energy of formation from the pure elements ... 0.24 eV/atom
Calculated total energy ... -16.101 eV per cell
Polymorph energy (0 for the lowest one) ... 149 meV/atom